Material: NaCo2CuRh
Method: DFT, PBE
State: relaxed

a = 4.3068 Å, b = 4.3068 Å, c = 4.2364 Å
α = 90.00°, β = 90.00°, γ = 90.00°
Space group P4/mmm (No. 123)
Asymmetric unit:
Na: 0.0000 0.0000 0.0000 (multiplicity 1)
Co: 0.0000 0.5000 0.0000 (multiplicity 2)
Cu: 0.0000 0.0000 0.5000 (multiplicity 1)
Rh: 0.5000 0.5000 0.5000 (multiplicity 1)

Computed properties:
- Total DFT energy (no corrections): -3.62 eV/atom
- DOS(E_F): 10.87 states/eV per cell